# TlReSi2

An optimized crystal structure of TlReSi2 (PBE-GGA, Alexandria via LeMat-Bulk).

As for the calculated total energy: -5.62 eV/atom. The value obtained for the formation energy from raw total energies is 0.80 eV/atom. The magnetic moment comes out at 0.000 μB/f.u. The energy above the lowest structure with this stoichiometry comes out at 629 meV per atom.

abc: 4.266 3.287 5.232
angles: 90.00 112.43 90.00
Positions (direct):
Tl: 0.000 0.000 0.000
Re: 0.000 0.500 0.500
Si: 0.500 0.000 0.500
Si: 0.500 0.500 0.000